10
Lattice="8.009 0.000 0.000 0.000 8.009 0.000 4.005 4.005 4.547" Properties=species:S:1:pos:R:3 comment="Rb2AsSCl6, optimized geometry, DFT PBE" final_energy_ev_per_cell=-30.46 crystal_system=tetragonal volume_a3_per_fu=291.68 spacegroup=I4/mmm pbc="T T T"
As 0.000 0.000 0.000
S 4.005 4.005 0.000
Rb 8.009 4.005 2.273
Rb 4.005 8.009 2.273
Cl 4.005 4.005 2.194
Cl 8.009 8.009 2.353
Cl 1.767 1.767 0.000
Cl 6.242 6.242 0.000
Cl 6.242 1.767 0.000
Cl 1.767 6.242 0.000

5
Lattice="-2.164 2.844 3.933 -2.539 -4.969 2.195 4.300 -0.874 2.998" Properties=species:S:1:pos:R:3 comment="RbSbAs2Cl, optimized geometry, DFT PBE" final_energy_ev_per_cell=-16.60 crystal_system=tetragonal volume_a3_per_fu=169.35 spacegroup=P4/mmm pbc="T T T"
Sb 0.000 0.000 0.000
As 2.150 -0.437 1.499
As -1.082 1.422 1.967
Rb -0.202 -1.499 4.563
Cl -1.270 -2.484 1.097

5
Lattice="-2.853 -0.561 -5.161 -2.602 -3.992 1.873 -4.229 3.667 1.939" Properties=species:S:1:pos:R:3 comment="Rb2ScAsCl, optimized geometry, DFT PBE" final_energy_ev_per_cell=-16.06 crystal_system=tetragonal polymorph_energy_ev_per_atom=0.370 volume_a3_per_fu=179.70 spacegroup=P4/mmm pbc="T T T"
Sc -1.301 -1.996 0.936
As -4.842 -0.443 -0.675
Rb -2.115 1.833 0.970
Rb -1.427 -0.281 -2.581
Cl 0.000 0.000 0.000

5
Lattice="-6.420 -1.972 -1.136 -0.370 -1.558 4.800 -2.220 6.173 1.833" Properties=species:S:1:pos:R:3 comment="Rb2ScAsCl, optimized geometry, DFT PBE" final_energy_ev_per_cell=-17.91 crystal_system=tetragonal polymorph_energy_ev_per_atom=0.000 volume_a3_per_fu=234.74 spacegroup=P4/mmm pbc="T T T"
Sc -0.185 -0.779 2.400
As 0.000 0.000 0.000
Rb -1.110 3.087 0.916
Rb -3.210 -0.986 -0.568
Cl -4.505 1.321 2.748

5
Lattice="-2.885 -2.755 3.268 -1.304 -3.187 -3.838 4.291 -3.136 1.146" Properties=species:S:1:pos:R:3 comment="RbAs2SeCl, optimized geometry, DFT PBE" final_energy_ev_per_cell=-13.18 crystal_system=tetragonal polymorph_energy_ev_per_atom=0.000 volume_a3_per_fu=144.58 spacegroup=P4/mmm pbc="T T T"
As -0.652 -1.594 -1.919
As -1.443 -1.377 1.634
Se 2.146 -1.568 0.573
Rb 0.051 -4.539 0.288
Cl 0.000 0.000 0.000

5
Lattice="5.483 0.000 0.000 0.000 5.483 0.000 0.000 0.000 5.007" Properties=species:S:1:pos:R:3 comment="RbAsSe2Cl, optimized geometry, DFT PBE" final_energy_ev_per_cell=-12.72 crystal_system=tetragonal polymorph_energy_ev_per_atom=0.000 volume_a3_per_fu=150.55 spacegroup=P4/mmm pbc="T T T"
As 0.000 0.000 2.504
Se 0.000 2.742 0.000
Se 2.742 0.000 0.000
Rb 2.742 2.742 2.504
Cl 0.000 0.000 0.000

5
Lattice="-5.915 1.781 -2.673 -3.165 -4.188 4.213 -0.568 5.144 4.686" Properties=species:S:1:pos:R:3 comment="RbAsSe2Cl, optimized geometry, DFT PBE" final_energy_ev_per_cell=-9.15 crystal_system=tetragonal polymorph_energy_ev_per_atom=0.714 volume_a3_per_fu=316.34 spacegroup=P4/mmm pbc="T T T"
As -0.284 2.572 2.343
Se -1.583 -2.094 2.107
Se -2.958 0.891 -1.337
Rb 0.000 0.000 0.000
Cl -4.824 1.369 3.113

5
Lattice="-6.819 -1.847 1.042 1.309 -0.906 6.961 -1.552 6.362 1.120" Properties=species:S:1:pos:R:3 comment="RbAs2SeCl, optimized geometry, DFT PBE" final_energy_ev_per_cell=-9.40 crystal_system=tetragonal polymorph_energy_ev_per_atom=0.756 volume_a3_per_fu=338.75 spacegroup=P4/mmm pbc="T T T"
As 0.655 -0.453 3.481
As -3.409 -0.924 0.521
Se -0.776 3.181 0.560
Rb 0.000 0.000 0.000
Cl -3.531 1.804 4.561

10
Lattice="-3.987 -0.297 6.356 3.471 -6.387 1.879 3.799 -0.348 6.802" Properties=species:S:1:pos:R:3 comment="Rb2SnAsCl6, optimized geometry, DFT PBE" final_energy_ev_per_cell=-33.24 crystal_system=tetragonal volume_a3_per_fu=322.02 spacegroup=I4/mmm pbc="T T T"
As -0.258 -3.342 4.117
Sn 0.000 0.000 0.000
Rb -0.223 -1.993 8.637
Rb 3.506 -5.039 6.399
Cl 1.850 -1.786 5.512
Cl 1.433 -5.246 9.524
Cl -0.135 -1.753 2.159
Cl -0.380 -4.931 6.075
Cl -2.031 -1.894 5.182
Cl 1.516 -4.790 3.053

12
Lattice="7.289 0.476 0.442 0.546 6.309 -0.581 0.656 -0.816 8.441" Properties=species:S:1:pos:R:3 comment="RbSn2AsCl8, optimized geometry, DFT PBE" final_energy_ev_per_cell=-40.73 crystal_system=triclinic volume_a3_per_fu=380.33 spacegroup=P-1 pbc="T T T"
Rb 0.328 -0.408 4.221
Sn 3.651 2.600 6.271
Sn 4.840 3.369 2.030
As 0.000 0.000 0.000
Cl 2.208 4.958 0.712
Cl 5.931 5.713 1.110
Cl 7.302 2.310 2.228
Cl 6.283 1.011 7.590
Cl 2.561 0.256 7.192
Cl 1.189 3.659 6.074
Cl 5.268 4.372 4.355
Cl 3.223 1.597 3.946

5
Lattice="-2.026 -3.986 -3.336 3.656 1.188 -3.639 3.489 -3.697 2.298" Properties=species:S:1:pos:R:3 comment="RbSrAs2Cl, optimized geometry, DFT PBE" final_energy_ev_per_cell=-14.71 crystal_system=tetragonal volume_a3_per_fu=164.74 spacegroup=P4/mmm pbc="T T T"
Sr 1.828 0.594 -1.820
As 1.745 -1.848 1.149
As -1.013 -1.993 -1.668
Rb 2.560 -3.247 -2.339
Cl 0.000 0.000 0.000

10
Lattice="7.563 0.000 0.000 0.000 7.563 0.000 3.782 3.782 6.168" Properties=species:S:1:pos:R:3 comment="Rb2SrAsCl6, optimized geometry, DFT PBE" final_energy_ev_per_cell=-34.96 crystal_system=tetragonal volume_a3_per_fu=352.80 spacegroup=I4/mmm pbc="T T T"
Sr 0.000 0.000 0.000
As 3.782 3.782 0.000
Rb 7.563 3.782 3.084
Rb 3.782 7.563 3.084
Cl 3.782 3.782 3.345
Cl 7.563 7.563 2.823
Cl 2.020 2.020 0.000
Cl 5.544 5.544 0.000
Cl 5.544 2.020 0.000
Cl 2.020 5.544 0.000

> What is the formula in the eleventh record?

RbSrAs2Cl